a) Here is a relaxed CaV8O8F8 crystal from Alexandria via LeMat-Bulk. Energies are from PBE with a Hubbard U.

Cell lengths 4.9526, 5.7504, 10.7648 Å; angles 95.56, 91.81, 94.01 degrees
Sites, in units of the cell vectors:
Ca 0.0000 0.0000 0.0000
V 0.0065 0.4415 0.1482
V 0.0625 0.5778 0.8568
V 0.4932 0.4007 0.6191
V 0.4939 0.6672 0.3981
V 0.5131 0.1408 0.8765
V 0.5204 0.9238 0.1688
V 0.9908 0.9147 0.6456
V 0.9962 0.1690 0.3935
O 0.1610 0.3635 0.9835
O 0.2892 0.6640 0.2243
O 0.2938 0.3864 0.4508
O 0.3031 0.1482 0.7000
O 0.6738 0.1874 0.0831
O 0.6941 0.9479 0.3314
O 0.6993 0.6775 0.5579
O 0.8473 0.9094 0.8077
F 0.1784 0.1401 0.2154
F 0.1835 0.8971 0.4672
F 0.2210 0.6361 0.6884
F 0.3744 0.8249 0.9586
F 0.6921 0.4263 0.7976
F 0.7933 0.7044 0.0922
F 0.8038 0.4406 0.3174
F 0.8046 0.1914 0.5639

Computed properties:
- Symmetry: No. 1

=====

b) Here is a relaxed CaV8O8F8 crystal from Alexandria via LeMat-Bulk. Energies are from PBE with a Hubbard U.

Cell lengths 5.0312, 5.7440, 10.5436 Å; angles 96.04, 92.06, 92.92 degrees
Sites, in units of the cell vectors:
Ca 0.0000 0.0000 0.0000
V 0.0118 0.8667 0.6318
V 0.0241 0.5614 0.8445
V 0.4833 0.8903 0.1488
V 0.4954 0.6248 0.3790
V 0.5062 0.1172 0.8643
V 0.5220 0.3498 0.6003
V 0.9883 0.4308 0.1294
V 0.9977 0.1221 0.3753
O 0.1659 0.8910 0.8034
O 0.1835 0.1396 0.5470
O 0.1945 0.6840 0.0450
O 0.3124 0.8918 0.3096
O 0.6770 0.3482 0.4356
O 0.8227 0.5717 0.6816
O 0.8259 0.0874 0.1980
O 0.8452 0.3326 0.9346
F 0.1813 0.4179 0.3115
F 0.3198 0.6479 0.5530
F 0.3494 0.3978 0.7814
F 0.3708 0.1955 0.0639
F 0.6261 0.8208 0.9499
F 0.6602 0.5987 0.2046
F 0.6875 0.0679 0.6823
F 0.8112 0.8334 0.4480

Computed properties:
- Symmetry: No. 1

=====

Looking at the structures above, b) is most stable, and the difference to the next one is 0.9 kJ/mol of atoms.